[1]
A relaxed AgPb crystal. Source: Alexandria via LeMat-Bulk, functional PBE.

POSCAR file:
```
AgPb
1.0
3.386 0.000 0.000
-1.693 2.932 0.000
0.000 0.000 10.060
Pb Ag
2 2
Direct
0.000 0.000 0.471
0.667 0.333 0.779
0.000 0.000 0.021
0.667 0.333 0.229
```

## Properties
Density ... 10.48 g/cm³
DFT formation energy ... 0.13 eV/atom

[2]
A relaxed La3HgO crystal. Source: Alexandria via LeMat-Bulk, functional PBE.

POSCAR file:
```
La3HgO
1.0
-0.692 -2.124 -5.105
0.962 -6.488 2.645
-7.023 -2.088 1.898
Hg O La
2 2 6
Direct
0.437 0.632 0.018
0.923 0.415 0.512
0.162 0.139 0.096
0.443 0.972 0.596
0.947 0.846 0.169
0.430 0.657 0.555
0.931 0.403 0.952
0.930 0.948 0.634
0.403 0.210 0.329
0.429 0.092 0.861
```

## Properties
Density ... 7.23 g/cm³
Energy relative to the lowest polymorph listed for this composition ... 0.077 eV/atom
Formation energy without anion corrections ... -1.29 eV per atom

[3]
A relaxed Li2ZnPd9 crystal. Source: Alexandria via LeMat-Bulk, functional PBE.

POSCAR file:
```
Li2ZnPd9
1.0
3.907 0.000 0.000
0.000 3.907 0.000
0.000 0.000 11.642
Li Zn Pd
2 1 9
Direct
0.000 0.000 0.335
0.000 0.000 0.665
0.000 0.000 0.000
0.500 0.500 0.000
0.500 0.500 0.335
0.500 0.500 0.665
0.500 0.000 0.168
0.500 0.000 0.500
0.500 0.000 0.832
0.000 0.500 0.168
0.000 0.500 0.500
0.000 0.500 0.832
```

## Properties
Density ... 9.69 g/cm³
DFT formation energy ... -0.26 eV/atom

[4]
A relaxed Sr2TaMo crystal. Source: Alexandria via LeMat-Bulk, functional PBE.

POSCAR file:
```
Sr2TaMo
1.0
-1.441 -0.202 -2.580
2.036 -1.918 -0.972
-6.006 -8.409 4.013
Mo Sr Ta
1 2 1
Direct
0.500 0.500 0.750
0.000 0.000 0.992
0.000 0.000 0.508
0.500 0.500 0.250
```

## Properties
Density ... 7.72 g/cm³
Energy relative to the lowest polymorph listed for this composition ... 0.732 eV/atom
DFT formation energy ... 1.21 eV/atom

[5]
A relaxed CaSm2MnN4 crystal. Source: Alexandria via LeMat-Bulk, functional PBE.

POSCAR file:
```
CaSm2MnN4
1.0
3.489 0.000 0.000
-1.744 5.975 0.000
0.000 0.000 11.927
Ca Sm Mn N
2 4 2 8
Direct
0.115 0.231 0.750
0.885 0.769 0.250
0.370 0.740 0.542
0.630 0.260 0.042
0.630 0.260 0.458
0.370 0.740 0.958
0.828 0.656 0.750
0.172 0.344 0.250
0.264 0.527 0.129
0.736 0.473 0.629
0.736 0.473 0.871
0.264 0.527 0.371
0.000 0.000 0.500
0.000 0.000 0.000
0.397 0.795 0.750
0.603 0.205 0.250
```

## Properties
Density ... 6.04 g/cm³
Formation energy without anion corrections ... -0.97 eV per atom

[6]
A relaxed Ca2CdTe crystal. Source: Alexandria via LeMat-Bulk, functional PBE.

POSCAR file:
```
Ca2CdTe
1.0
9.564 -0.006 -0.004
8.602 4.182 -0.004
8.602 1.977 3.685
Ca Te Cd
2 1 1
Direct
0.021 0.021 0.021
0.236 0.236 0.236
0.755 0.755 0.755
0.488 0.488 0.488
```

## Properties
Density ... 3.60 g/cm³
Energy relative to the lowest polymorph listed for this composition ... 0.351 eV/atom
Formation energy without anion corrections ... -0.49 eV per atom

Q: What is the formula in the third record?
A: Li2ZnPd9

Q: Which formula does entry 5 have?
A: CaSm2MnN4